Record 1
A geometry-optimized NdSbCl2O2 structure. Source: the Open Quantum Materials Database, functional PBE-GGA.

Cell: 3.913 3.913 7.041 Å, 90.00 90.00 90.00°
Element x y z (fractional)
Cl  0.500  0.500  0.382
Cl  0.000  0.000  0.651
Nd  0.500  0.500  0.808
O  0.500  0.000  0.002
O  0.000  0.500  0.002
Sb  0.000  0.000  0.155

## Properties
Its electronic total energy is -5.834 eV per atom.

Record 2
A geometry-optimized LaMgAg2 structure. Source: the Open Quantum Materials Database, functional PBE-GGA.

Cell: 5.196 5.196 8.011 Å, 90.00 90.00 120.00°
Element x y z (fractional)
Ag  0.333  0.667  0.078
Ag  0.333  0.667  0.422
Ag  0.667  0.333  0.578
Ag  0.667  0.333  0.922
La  0.000  0.000  0.250
La  0.000  0.000  0.750
Mg  0.667  0.333  0.250
Mg  0.333  0.667  0.750

## Properties
Its electronic total energy is -3.077 eV per atom.

- The highest electronic total energy belongs to which entry?
  LaMgAg2

- What is the electronic total energy in the first record?
  -5.834 eV per atom

- Which value of electronic total energy does entry 1 give?
  -5.834 eV per atom

Repeat the second record exactly.
A geometry-optimized LaMgAg2 structure. Source: the Open Quantum Materials Database, functional PBE-GGA.

Cell: 5.196 5.196 8.011 Å, 90.00 90.00 120.00°
Element x y z (fractional)
Ag  0.333  0.667  0.078
Ag  0.333  0.667  0.422
Ag  0.667  0.333  0.578
Ag  0.667  0.333  0.922
La  0.000  0.000  0.250
La  0.000  0.000  0.750
Mg  0.667  0.333  0.250
Mg  0.333  0.667  0.750

## Properties
Its electronic total energy is -3.077 eV per atom.